Compound: CaTlS2
Source: the Alexandria database
Functional: PBE-GGA
Structure: optimized geometry

Properties
- mass density (g/cm³) = 5.18
- raw formation energy (eV per formula unit) = -4.52
- VASP energy (eV/atom) = -4.286
- total moment (μB/atom) = 0.00

a = 4.178 Å, b = 5.552 Å, c = 8.531 Å
α = 90.00°, β = 90.00°, γ = 90.00°
Element x y z (fractional)
Ca  0.250  0.250  0.122
Ca  0.750  0.750  0.878
Tl  0.250  0.250  0.637
Tl  0.750  0.750  0.363
S  0.250  0.750  0.108
S  0.250  0.750  0.641
S  0.750  0.250  0.359
S  0.750  0.250  0.892

---

Compound: CaTlS2
Source: the Alexandria database
Functional: PBE-GGA
Structure: optimized geometry

Properties
- mass density (g/cm³) = 5.11
- raw formation energy (eV per formula unit) = -3.95
- VASP energy (eV/atom) = -4.144
- total moment (μB/atom) = 0.00

a = 7.474 Å, b = 7.474 Å, c = 7.474 Å
α = 31.35°, β = 31.35°, γ = 31.35°
Element x y z (fractional)
Ca  0.000  0.000  0.000
Tl  0.168  0.168  0.168
S  0.588  0.588  0.588
S  0.745  0.745  0.745

---

Compound: Ca2Tl4S5
Source: the Alexandria database
Functional: PBE-GGA
Structure: optimized geometry

Properties
- mass density (g/cm³) = 5.01
- raw formation energy (eV per formula unit) = -8.70
- VASP energy (eV/atom) = -3.891
- total moment (μB/atom) = 0.00

a = 20.376 Å, b = 20.376 Å, c = 20.376 Å
α = 12.61°, β = 12.61°, γ = 12.61°
Element x y z (fractional)
Ca  0.142  0.142  0.142
Ca  0.858  0.858  0.858
Tl  0.312  0.312  0.312
Tl  0.424  0.424  0.424
Tl  0.576  0.576  0.576
Tl  0.688  0.688  0.688
S  0.216  0.216  0.216
S  0.362  0.362  0.362
S  0.500  0.500  0.500
S  0.638  0.638  0.638
S  0.784  0.784  0.784

---

Question: What is the formula in the third record?
Answer: Ca2Tl4S5